a) Material: LiCoRu2
Method: DFT, SCAN
State: single point on PBEsol structure

The structure in extended XYZ format:
```
4
Lattice="-1.8171 1.8171 3.6092 1.8171 -1.8171 3.6092 1.8171 1.8171 -3.6092" Properties=species:S:1:pos:R:3 pbc="T T T"
Li 0.0000 0.0000 0.0000
Co 1.8171 0.0000 1.8046
Ru 0.0000 0.0000 3.6092
Ru 0.0000 1.8171 1.8046
```

b) Material: LiCoRu2
Method: DFT, SCAN
State: single point on PBEsol structure

The structure in extended XYZ format:
```
4
Lattice="2.6207 0.0000 0.0000 0.0000 3.6963 0.0000 0.0000 0.0000 4.9490" Properties=species:S:1:pos:R:3 pbc="T T T"
Li 0.0000 0.0000 0.0000
Co 1.3103 1.8482 3.8516
Ru 0.0000 0.0000 2.5227
Ru 1.3103 1.8482 1.2918
```

Energies in meV/atom, measured from the most stable structure: a) 15; b) 0.

a) Material: LiCoRu2
Method: DFT, SCAN
State: single point on PBEsol structure

The structure in extended XYZ format:
```
4
Lattice="4.2860 -1.2866 0.0000 4.2860 1.2866 0.0000 -0.6924 0.0000 4.3673" Properties=species:S:1:pos:R:3 pbc="T T T"
Li 0.0000 0.0000 0.0000
Co 6.3167 0.0000 0.8962
Ru 1.5524 0.0000 3.1174
Ru 3.8300 0.0000 2.1472
```

b) Material: LiCoRu2
Method: DFT, SCAN
State: single point on PBEsol structure

The structure in extended XYZ format:
```
4
Lattice="1.2983 0.7496 8.6380 -1.2983 0.7496 8.6380 0.0000 -1.4991 8.6380" Properties=species:S:1:pos:R:3 pbc="T T T"
Li 0.0000 0.0000 0.0000
Co 0.0000 0.0000 12.9570
Ru 0.0000 0.0000 6.3237
Ru 0.0000 0.0000 19.5903
```

Energies in meV/atom, measured from the most stable structure: a) 0; b) 7.

a) Material: LiCo2Ru
Method: DFT, SCAN
State: single point on PBEsol structure

The structure in extended XYZ format:
```
4
Lattice="2.5228 0.0000 0.0000 0.0000 3.5689 0.0000 0.0000 0.0000 4.8903" Properties=species:S:1:pos:R:3 pbc="T T T"
Li 0.0000 0.0000 0.0000
Co 1.2614 1.7845 1.2157
Co 1.2614 1.7845 3.6746
Ru 0.0000 0.0000 2.4452
```

b) Material: LiCo2Ru
Method: DFT, SCAN
State: single point on PBEsol structure

The structure in extended XYZ format:
```
4
Lattice="-1.2937 2.1198 4.2364 1.2937 -2.1198 4.2364 1.2937 2.1198 -4.2364" Properties=species:S:1:pos:R:3 pbc="T T T"
Li 0.0000 0.0000 0.0000
Co 1.2937 0.0000 2.1549
Co 0.0000 0.0000 4.0891
Ru 0.0000 2.1198 1.9345
```

Energies in meV/atom, measured from the most stable structure: a) 64; b) 0.

a) Material: Li2ScCo
Method: DFT, SCAN
State: single point on PBEsol structure

The structure in extended XYZ format:
```
8
Lattice="-1.7537 1.7537 10.0776 1.7537 -1.7537 10.0776 1.7537 1.7537 -10.0776" Properties=species:S:1:pos:R:3 pbc="T T T"
Li 0.8768 0.7617 -2.5194
Li 0.9920 -0.8768 12.5971
Li 0.8768 0.9920 7.5582
Li 0.7617 2.6305 2.5194
Sc 1.7537 0.0000 5.0388
Sc 0.0000 0.0000 10.0776
Co 0.0000 0.0000 0.0000
Co 0.0000 1.7537 5.0388
```

b) Material: Li2ScCo
Method: DFT, SCAN
State: single point on PBEsol structure

The structure in extended XYZ format:
```
4
Lattice="-1.7661 1.7661 4.7328 1.7661 -1.7661 4.7328 1.7661 1.7661 -4.7328" Properties=species:S:1:pos:R:3 pbc="T T T"
Li 1.7661 0.0000 2.3664
Li 0.0000 1.7661 2.3664
Sc 0.0000 0.0000 0.0000
Co 0.0000 0.0000 4.7328
```

Energies in meV/atom, measured from the most stable structure: a) 108; b) 0.